# 1
Compound: LiTcAg2
Source: Alexandria
Functional: PBEsol
Structure: relaxed

Computed properties:
- Size of the total moment: 0.61 μB per formula unit
- Energy of formation: 1.04 eV/f.u.
- Calculated total energy: -4.7037 eV per atom
- Excess energy over the best structure of this formula in the dataset: 0.000 eV per atom
- Fermi-level density of states: 2.109 states/eV/cell

Structure (POSCAR):
```
LiTcAg2
1.0
2.9507 -3.9370 0.0000
2.9507 3.9370 0.0000
0.0000 0.0000 2.6217
Li Tc Ag
1 1 2
direct
0.0000 0.0000 0.0000
0.5000 0.5000 0.0000
0.0000 0.5000 0.5000
0.5000 0.0000 0.5000
```


# 2
Compound: Co2Ir
Source: Alexandria
Functional: PBEsol
Structure: relaxed

Computed properties:
- Size of the total moment: 3.44 μB per formula unit
- Energy of formation: 0.27 eV/f.u.
- Calculated total energy: -8.3440 eV per atom
- Excess energy over the best structure of this formula in the dataset: 0.057 eV per atom
- Fermi-level density of states: 4.031 states/eV/cell

Structure (POSCAR):
```
Co2Ir
1.0
2.5946 0.0000 0.0000
-1.2973 2.2470 0.0000
0.0000 0.0000 6.1406
Co Ir
2 1
direct
0.3333 0.6667 0.1543
0.6667 0.3333 0.8457
0.0000 0.0000 0.5000
```


# 3
Compound: ZnP
Source: Alexandria
Functional: PBEsol
Structure: relaxed

Computed properties:
- Size of the total moment: 0.00 μB per formula unit
- Energy of formation: -0.10 eV/f.u.
- Calculated total energy: -3.7387 eV per atom
- Fermi-level density of states: 0.712 states/eV/cell

Structure (POSCAR):
```
ZnP
1.0
3.5084 -1.9601 0.0000
3.5084 1.9601 0.0000
-1.0347 0.0000 5.3245
Zn P
2 2
direct
0.1340 0.1340 0.2152
0.8660 0.8660 0.7848
0.4697 0.4697 0.2878
0.5303 0.5303 0.7122
```


# 4
Compound: RbCrOs3
Source: Alexandria
Functional: PBEsol
Structure: relaxed

Computed properties:
- Size of the total moment: 1.52 μB per formula unit
- Energy of formation: 20.75 eV/f.u.
- Calculated total energy: -5.4331 eV per atom
- Fermi-level density of states: 6.229 states/eV/cell

Structure (POSCAR):
```
RbCrOs3
1.0
4.6355 0.0000 0.0000
0.0000 4.6355 0.0000
0.0000 0.0000 4.6355
Rb Cr Os
1 1 3
direct
0.0000 0.0000 0.0000
0.5000 0.5000 0.5000
0.0000 0.0000 0.5000
0.0000 0.5000 0.0000
0.5000 0.0000 0.0000
```


# 5
Compound: TmTaRu2
Source: Alexandria
Functional: PBEsol
Structure: relaxed

Computed properties:
- Size of the total moment: 0.00 μB per formula unit
- Energy of formation: -1.72 eV/f.u.
- Calculated total energy: -9.8774 eV per atom
- Fermi-level density of states: 0.588 states/eV/cell

Structure (POSCAR):
```
TmTaRu2
1.0
0.0000 3.2050 3.2050
3.2050 0.0000 3.2050
3.2050 3.2050 0.0000
Tm Ta Ru
1 1 2
direct
0.0000 0.0000 0.0000
0.5000 0.5000 0.5000
0.2500 0.2500 0.2500
0.7500 0.7500 0.7500
```


# 6
Compound: RbTaSCl2
Source: Alexandria
Functional: PBEsol
Structure: relaxed

Computed properties:
- Energy relative to the elements, uncorrected: -1095 meV/atom
- Size of the total moment: 0.00 μB per formula unit
- Calculated total energy: -5.4899 eV per atom
- Fermi-level density of states: 1.900 states/eV/cell

Structure (POSCAR):
```
RbTaSCl2
1.0
4.9443 0.0000 0.0000
0.0000 4.9443 0.0000
0.0000 0.0000 4.7362
Rb Ta S Cl
1 1 1 2
direct
0.0000 0.0000 0.0000
0.5000 0.5000 0.5000
0.5000 0.5000 0.0000
0.0000 0.5000 0.5000
0.5000 0.0000 0.5000
```


# 7
Compound: Y2Si2Ir
Source: Alexandria
Functional: PBEsol
Structure: relaxed

Computed properties:
- Energy relative to the elements, uncorrected: -1013 meV/atom
- Size of the total moment: 0.00 μB per formula unit
- Calculated total energy: -8.0053 eV per atom
- Fermi-level density of states: 5.259 states/eV/cell

Structure (POSCAR):
```
Y2Si2Ir
1.0
6.4434 0.0000 0.0000
0.0000 6.4434 0.0000
0.0000 0.0000 4.4342
Y Si Ir
4 4 2
direct
0.1755 0.3245 0.0000
0.3245 0.8245 0.0000
0.6755 0.1755 0.0000
0.8245 0.6755 0.0000
0.1337 0.6337 0.5000
0.3663 0.1337 0.5000
0.6337 0.8663 0.5000
0.8663 0.3663 0.5000
0.0000 0.0000 0.5000
0.5000 0.5000 0.5000
```


# 8
Compound: HfZr2P2
Source: Alexandria
Functional: PBEsol
Structure: relaxed

Computed properties:
- Size of the total moment: 0.00 μB per formula unit
- Energy of formation: -6.43 eV/f.u.
- Calculated total energy: -9.3396 eV per atom
- Fermi-level density of states: 2.461 states/eV/cell

Structure (POSCAR):
```
HfZr2P2
1.0
6.8937 0.0000 0.0000
0.0000 6.8937 0.0000
0.0000 0.0000 3.5902
Hf Zr P
2 4 4
direct
0.0000 0.0000 0.0000
0.5000 0.5000 0.0000
0.1626 0.3374 0.5000
0.3374 0.8374 0.5000
0.6626 0.1626 0.5000
0.8374 0.6626 0.5000
0.1383 0.6383 0.0000
0.3617 0.1383 0.0000
0.6383 0.8617 0.0000
0.8617 0.3617 0.0000
```


# 9
Compound: AsIr2Os
Source: Alexandria
Functional: PBEsol
Structure: relaxed

Computed properties:
- Size of the total moment: 0.00 μB per formula unit
- Energy of formation: 0.85 eV/f.u.
- Calculated total energy: -9.0307 eV per atom
- Fermi-level density of states: 2.774 states/eV/cell

Structure (POSCAR):
```
AsIr2Os
1.0
2.7747 0.0000 0.0000
0.0000 2.7747 0.0000
0.0000 0.0000 7.5832
As Ir Os
1 2 1
direct
0.0000 0.0000 0.0000
0.5000 0.5000 0.2595
0.5000 0.5000 0.7405
0.0000 0.0000 0.5000
```


# 10
Compound: Mn5Ru
Source: Alexandria
Functional: PBEsol
Structure: relaxed

Computed properties:
- Size of the total moment: 0.00 μB per formula unit
- Energy of formation: 0.34 eV/f.u.
- Calculated total energy: -9.7738 eV per atom
- Excess energy over the best structure of this formula in the dataset: 0.007 eV per atom
- Fermi-level density of states: 7.415 states/eV/cell

Structure (POSCAR):
```
Mn5Ru
1.0
4.5408 -1.2613 0.0000
4.5408 1.2613 0.0000
-1.4587 0.0000 5.6848
Mn Ru
5 1
direct
0.0000 0.0000 0.0000
0.0543 0.0543 0.5955
0.3401 0.3401 0.6540
0.3946 0.3946 0.2777
0.6696 0.6696 0.3334
0.7223 0.7223 0.9349
```


# 11
Compound: Li2LaGaTc
Source: Alexandria
Functional: PBEsol
Structure: relaxed

Computed properties:
- Size of the total moment: 0.00 μB per formula unit
- Energy of formation: 2.85 eV/f.u.
- Calculated total energy: -4.2081 eV per atom
- Fermi-level density of states: 2.568 states/eV/cell

Structure (POSCAR):
```
Li2LaGaTc
1.0
4.9372 0.0000 0.0000
0.0000 4.9372 0.0000
0.0000 0.0000 4.8249
Li La Ga Tc
2 1 1 1
direct
0.0000 0.5000 0.0000
0.5000 0.0000 0.0000
0.0000 0.0000 0.5000
0.5000 0.5000 0.5000
0.0000 0.0000 0.0000
```


# 12
Compound: TiNb6Tl2O18
Source: Alexandria
Functional: PBEsol
Structure: relaxed

Computed properties:
- Energy relative to the elements, uncorrected: -2406 meV/atom
- Size of the total moment: 0.00 μB per formula unit
- Calculated total energy: -8.8131 eV per atom
- Fermi-level density of states: 0.000 states/eV/cell

Structure (POSCAR):
```
TiNb6Tl2O18
1.0
6.5994 -3.8109 0.0000
6.5994 3.8109 0.0000
-0.0035 0.0000 8.2755
Ti Nb Tl O
1 6 2 18
direct
0.0000 0.0000 0.0000
0.1674 0.1674 0.3475
0.1673 0.6653 0.3472
0.3347 0.8327 0.6528
0.6653 0.1673 0.3472
0.8327 0.3347 0.6528
0.8326 0.8326 0.6525
0.3336 0.3336 0.7598
0.6664 0.6664 0.2402
0.1024 0.4487 0.3403
0.1193 0.1193 0.1380
0.1193 0.7613 0.1376
0.1431 0.1431 0.6015
0.1434 0.7134 0.6014
0.2387 0.8807 0.8624
0.2866 0.8566 0.3986
0.4487 0.1024 0.3403
0.4489 0.4489 0.3399
0.5511 0.5511 0.6601
0.5513 0.8976 0.6597
0.7134 0.1434 0.6014
0.7613 0.1193 0.1376
0.8566 0.2866 0.3986
0.8569 0.8569 0.3985
0.8807 0.2387 0.8624
0.8807 0.8807 0.8620
0.8976 0.5513 0.6597
```


# 13
Compound: KCOF3
Source: Alexandria
Functional: PBEsol
Structure: relaxed

Computed properties:
- Energy relative to the elements, uncorrected: -2029 meV/atom
- Size of the total moment: 0.09 μB per formula unit
- Calculated total energy: -5.6634 eV per atom
- Fermi-level density of states: 0.000 states/eV/cell

Structure (POSCAR):
```
KCOF3
1.0
5.5120 0.0000 0.0000
0.0000 7.0735 0.0000
-0.1835 0.0000 8.4914
K C O F
4 4 4 12
direct
0.2259 0.1566 0.1751
0.2259 0.3434 0.6751
0.7741 0.6566 0.3249
0.7741 0.8434 0.8249
0.2360 0.7016 0.0738
0.2360 0.7984 0.5738
0.7640 0.2016 0.4262
0.7640 0.2984 0.9262
0.0528 0.7006 0.5894
0.0528 0.7994 0.0894
0.9472 0.2006 0.9106
0.9472 0.2994 0.4106
0.2586 0.6023 0.9308
0.2586 0.8977 0.4308
0.2761 0.5577 0.1890
0.2761 0.9423 0.6890
0.4647 0.6979 0.5830
0.4647 0.8021 0.0830
0.5353 0.1979 0.9170
0.5353 0.3021 0.4170
0.7239 0.0577 0.3110
0.7239 0.4423 0.8110
0.7414 0.1023 0.5692
0.7414 0.3977 0.0692
```


# 14
Compound: KV13O20
Source: Alexandria
Functional: PBEsol
Structure: relaxed

Computed properties:
- Energy relative to the elements, uncorrected: -2222 meV/atom
- Size of the total moment: 5.80 μB per formula unit
- Calculated total energy: -9.0266 eV per atom
- Fermi-level density of states: 31.913 states/eV/cell

Structure (POSCAR):
```
KV13O20
1.0
7.2395 0.0000 0.0000
-0.1447 8.0925 0.0000
-2.5991 -0.9811 11.6583
K V O
2 26 40
direct
0.0017 0.3024 0.3067
0.9983 0.6976 0.6933
0.1506 0.6612 0.1695
0.1554 0.2842 0.7696
0.1574 0.0596 0.5605
0.1588 0.4578 0.9494
0.1645 0.8827 0.3653
0.1955 0.2150 0.0855
0.2060 0.0107 0.8703
0.2351 0.6290 0.4767
0.4449 0.8002 0.0074
0.4561 0.4220 0.6120
0.4625 0.0212 0.2096
0.4637 0.2242 0.3935
0.4694 0.6231 0.7861
0.5306 0.3769 0.2139
0.5363 0.7758 0.6065
0.5375 0.9788 0.7904
0.5439 0.5780 0.3880
0.5551 0.1998 0.9926
0.7649 0.3710 0.5233
0.7940 0.9893 0.1297
0.8045 0.7850 0.9145
0.8355 0.1173 0.6347
0.8412 0.5422 0.0506
0.8426 0.9404 0.4395
0.8446 0.7158 0.2304
0.8494 0.3388 0.8305
0.0715 0.2189 0.9125
0.0724 0.4290 0.1031
0.0760 0.8237 0.5040
0.0791 0.0401 0.7120
0.0817 0.6356 0.3184
0.2610 0.6743 0.0334
0.2627 0.2863 0.6315
0.2643 0.0937 0.4300
0.2653 0.8837 0.2265
0.2726 0.4945 0.8264
0.3100 0.6268 0.6358
0.3133 0.2244 0.2417
0.3418 0.0246 0.0353
0.3422 0.4257 0.4410
0.3455 0.8192 0.8395
0.3885 0.5629 0.2437
0.3916 0.3574 0.0448
0.3942 0.9613 0.6409
0.3952 0.1711 0.8417
0.4101 0.7774 0.4402
0.5899 0.2226 0.5598
0.6048 0.8289 0.1583
0.6058 0.0387 0.3591
0.6084 0.6426 0.9552
0.6115 0.4371 0.7563
0.6545 0.1808 0.1605
0.6578 0.5743 0.5590
0.6582 0.9754 0.9647
0.6867 0.7756 0.7583
0.6900 0.3732 0.3642
0.7274 0.5055 0.1736
0.7347 0.1163 0.7735
0.7357 0.9063 0.5700
0.7373 0.7137 0.3685
0.7390 0.3257 0.9666
0.9183 0.3644 0.6816
0.9209 0.9599 0.2880
0.9240 0.1763 0.4960
0.9276 0.5710 0.8969
0.9285 0.7811 0.0875
```


# 15
Compound: K9Fe2S7
Source: Alexandria
Functional: PBEsol
Structure: relaxed

Computed properties:
- Energy relative to the elements, uncorrected: -966 meV/atom
- Size of the total moment: 9.01 μB per formula unit
- Calculated total energy: -4.2339 eV per atom

Structure (POSCAR):
```
K9Fe2S7
1.0
12.5119 0.0000 0.0000
0.0000 12.5119 0.0000
0.0000 0.0000 12.5119
K Fe S
36 8 28
direct
0.0012 0.3010 0.8328
0.0431 0.7926 0.1780
0.0581 0.0581 0.0581
0.0856 0.5856 0.9144
0.1672 0.5012 0.1990
0.1780 0.0431 0.7926
0.1990 0.1672 0.5012
0.2074 0.6780 0.4569
0.2387 0.2387 0.2387
0.2613 0.7613 0.7387
0.2926 0.3220 0.9569
0.3010 0.8328 0.0012
0.3220 0.9569 0.2926
0.3328 0.4988 0.6990
0.4144 0.4144 0.4144
0.4419 0.9419 0.5581
0.4569 0.2074 0.6780
0.4988 0.6990 0.3328
0.5012 0.1990 0.1672
0.5431 0.7074 0.8220
0.5581 0.4419 0.9419
0.5856 0.9144 0.0856
0.6672 0.9988 0.8010
0.6780 0.4569 0.2074
0.6990 0.3328 0.4988
0.7074 0.8220 0.5431
0.7387 0.2613 0.7613
0.7613 0.7387 0.2613
0.7926 0.1780 0.0431
0.8010 0.6672 0.9988
0.8220 0.5431 0.7074
0.8328 0.0012 0.3010
0.9144 0.0856 0.5856
0.9419 0.5581 0.4419
0.9569 0.2926 0.3220
0.9988 0.8010 0.6672
0.0710 0.9290 0.4290
0.0995 0.4005 0.5995
0.4005 0.5995 0.0995
0.4290 0.0710 0.9290
0.5710 0.5710 0.5710
0.5995 0.0995 0.4005
0.9005 0.9005 0.9005
0.9290 0.4290 0.0710
0.0588 0.3107 0.0760
0.0694 0.8352 0.9120
0.0760 0.0588 0.3107
0.0880 0.5694 0.6648
0.1648 0.4120 0.4306
0.1893 0.9240 0.5588
0.2064 0.2936 0.7064
0.2936 0.7064 0.2064
0.3107 0.0760 0.0588
0.3352 0.5880 0.9306
0.4120 0.4306 0.1648
0.4240 0.9412 0.8107
0.4306 0.1648 0.4120
0.4412 0.6893 0.5760
0.5588 0.1893 0.9240
0.5694 0.6648 0.0880
0.5760 0.4412 0.6893
0.5880 0.9306 0.3352
0.6648 0.0880 0.5694
0.6893 0.5760 0.4412
0.7064 0.2064 0.2936
0.7936 0.7936 0.7936
0.8107 0.4240 0.9412
0.8352 0.9120 0.0694
0.9120 0.0694 0.8352
0.9240 0.5588 0.1893
0.9306 0.3352 0.5880
0.9412 0.8107 0.4240
```


# 16
Compound: ZnCuRe2
Source: Alexandria
Functional: PBEsol
Structure: relaxed

Computed properties:
- Size of the total moment: 0.00 μB per formula unit
- Energy of formation: 0.72 eV/f.u.
- Calculated total energy: -7.9643 eV per atom
- Fermi-level density of states: 2.462 states/eV/cell

Structure (POSCAR):
```
ZnCuRe2
1.0
3.0066 0.0000 0.0000
0.0000 3.0066 0.0000
0.0000 0.0000 6.1006
Zn Cu Re
1 1 2
direct
0.0000 0.0000 0.0000
0.5000 0.5000 0.2049
0.0000 0.0000 0.4833
0.5000 0.5000 0.7109
```


# 17
Compound: Ta3Mo3N4
Source: Alexandria
Functional: PBEsol
Structure: relaxed

Computed properties:
- Energy relative to the elements, uncorrected: -906 meV/atom
- Size of the total moment: 0.00 μB per formula unit
- Calculated total energy: -11.6123 eV per atom
- Fermi-level density of states: 3.417 states/eV/cell

Structure (POSCAR):
```
Ta3Mo3N4
1.0
3.0213 0.0000 0.0000
0.0000 3.0213 0.0000
0.0000 0.0000 12.4897
Ta Mo N
3 3 4
direct
0.0000 0.0000 0.0000
0.0000 0.0000 0.2957
0.5000 0.5000 0.5011
0.0000 0.0000 0.6533
0.5000 0.5000 0.1483
0.5000 0.5000 0.7968
0.0000 0.0000 0.4753
0.0000 0.0000 0.8220
0.5000 0.5000 0.3242
0.5000 0.5000 0.9721
```


# 18
Compound: Li7Mg
Source: Alexandria
Functional: PBEsol
Structure: relaxed

Computed properties:
- Size of the total moment: 0.00 μB per formula unit
- Energy of formation: -0.13 eV/f.u.
- Calculated total energy: -1.9514 eV per atom
- Fermi-level density of states: 4.594 states/eV/cell

Structure (POSCAR):
```
Li7Mg
1.0
0.0000 4.2953 4.2953
4.2953 0.0000 4.2953
4.2953 4.2953 0.0000
Li Mg
7 1
direct
0.0000 0.0000 0.0000
0.0000 0.0000 0.5000
0.0000 0.5000 0.0000
0.0000 0.5000 0.5000
0.5000 0.0000 0.0000
0.5000 0.0000 0.5000
0.5000 0.5000 0.0000
0.5000 0.5000 0.5000
```